First-principles (GGA+U) data for a relaxed structure of GaNiF3, as listed in the Alexandria database.

Properties
The calculated density comes out at 4633 kg/m³. The density of states at the Fermi level is 10.4 states/eV/f.u. The final energy comes out at -16.72 eV/cell.

Cell lengths 4.0504, 4.0504, 4.0504 Å; angles 90.00, 90.00, 90.00 degrees
Last column: nearest neighbours and their distance in Å.
Fractional coordinates of all 5 atoms:
Ni 0.5000 0.5000 0.5000  12 F 2.86
F 0.0000 0.0000 0.5000  2 Ga 2.03
F 0.5000 0.0000 0.0000  2 Ga 2.03
F 0.0000 0.5000 0.0000  2 Ga 2.03
Ga 0.0000 0.0000 0.0000  6 F 2.03